1.
SmIn2Hg, optimized geometry, DFT PBE; theoretical density = 9.54 g cm⁻³; crystal system = tetragonal; SG = P4/mmm, No. 123; calculated formation energy = -40.97 kJ per mole of atoms; total energy = -12.20 eV/cell
1.0
4.6400 0.0000 0.0000
0.0000 4.6658 0.0000
0.0000 0.0000 4.6658
In Sm Hg
2 1 1
direct
0.0000 0.5000 0.0000
0.0000 0.0000 0.5000
0.5000 0.5000 0.5000
0.5000 0.0000 0.0000

=====

2.
TlCuSe2, optimized geometry, DFT PBE; theoretical density = 7.49 g cm⁻³; formation energy from raw total energies = -0.065 eV/atom; crystal system = tetragonal; SG = P4mm, No. 99; total energy = -13.69 eV/cell
1.0
3.7432 0.0000 0.0000
0.0000 3.7412 0.0000
0.0000 0.0000 6.7410
Se Tl Cu
2 1 1
direct
0.0000 0.0000 0.8550
0.5000 0.5000 0.2824
0.0000 0.0000 0.4456
0.5000 0.5000 0.9170

=====

3.
ZrBeNi2, optimized geometry, DFT PBE; theoretical density = 7.13 g cm⁻³; crystal system = monoclinic; SG = P2/m, No. 10; offset from the most stable computed form = 3.68 kcal/mol of atoms; calculated formation energy = -27.21 kJ per mole of atoms; total energy = -24.97 eV/cell
1.0
-0.6489 2.6114 -0.9706
-1.3174 0.5563 2.3774
4.1076 2.8282 4.8633
Zr Be Ni
1 1 2
direct
0.5000 0.2500 0.2500
0.5000 0.7500 0.7500
0.0000 0.4439 0.5567
0.0000 0.0561 0.9433

=====

4.
Nd6Pd5Au, optimized geometry, DFT PBE; theoretical density = 9.13 g cm⁻³; crystal system = monoclinic; SG = C2/m, No. 12; offset from the most stable computed form = 0.00 kcal/mol of atoms; calculated formation energy = -71.13 kJ per mole of atoms; total energy = -66.69 eV/cell
1.0
5.0773 -0.3197 0.8166
-0.0204 6.7420 2.7646
1.1662 0.3240 8.8201
Nd Pd Au
6 5 1
direct
0.5000 0.7458 0.0000
0.5000 0.2542 0.0000
0.1684 0.4205 0.6630
0.8316 0.0835 0.3371
0.1684 0.9165 0.6629
0.8316 0.5795 0.3370
0.6656 0.6662 0.6673
0.3353 0.8345 0.3311
0.6647 0.1655 0.6689
0.3344 0.3338 0.3327
0.0000 0.5000 0.0000
0.0000 0.0000 0.0000

=====

5.
TaFeP2, optimized geometry, DFT PBE; theoretical density = 9.19 g cm⁻³; crystal system = tetragonal; SG = P4mm, No. 99; offset from the most stable computed form = 1.97 kcal/mol of atoms; calculated formation energy = -42.08 kJ per mole of atoms; total energy = -32.88 eV/cell
1.0
-1.4288 -2.3500 -1.5840
-1.3549 -0.9916 2.6933
-4.2017 3.1882 -0.9399
Fe P Ta
1 2 1
direct
0.5000 0.5000 0.8148
0.0000 0.0000 0.9629
0.5000 0.5000 0.2572
0.0000 0.0000 0.4651

=====

6.
TiSn3As, optimized geometry, DFT PBE; theoretical density = 5.37 g cm⁻³; crystal system = cubic; SG = Pm-3m, No. 221; offset from the most stable computed form = 0.00 kcal/mol of atoms; calculated formation energy = 47.86 kJ per mole of atoms; total energy = -22.07 eV/cell
1.0
5.2915 0.0000 0.0000
0.0000 5.2915 0.0000
0.0000 0.0000 5.2915
Ti As Sn
1 1 3
direct
0.0000 0.0000 0.0000
0.5000 0.5000 0.5000
0.5000 0.0000 0.0000
0.0000 0.5000 0.0000
0.0000 0.0000 0.5000